(1)
# PBE Pr2Nd2I7, relaxed
data_Pr2Nd2I7
_chemical_formula_sum 'Pr4 Nd4 I14'
_symmetry_space_group_name_H-M 'C 1 2/m 1'
_symmetry_Int_Tables_number 12
_cell_length_a 9.369
_cell_length_b 13.514
_cell_length_c 8.373
_cell_angle_alpha 90.00
_cell_angle_beta 92.18
_cell_angle_gamma 90.00
loop_
_symmetry_equiv_pos_as_xyz
'x,y,z'
'-x,-y,-z'
'-x,y,-z'
'x,-y,z'
'x+1/2,y+1/2,z'
'-x+1/2,-y+1/2,-z'
'-x+1/2,y+1/2,-z'
'x+1/2,-y+1/2,z'
loop_
_atom_site_label
_atom_site_fract_x
_atom_site_fract_y
_atom_site_fract_z
Pr1 0.000 0.138 0.000
Nd1 0.191 0.000 0.357
I1 0.000 0.500 0.500
I2 0.142 0.000 0.736
I3 0.214 0.302 0.788
# E_tot in eV/atom: -3.759
# Calculated volume in Å³ per atom: 48.2
# M_tot in μB per cell: 2.9
# Formation energy without anion corrections in eV/atom: -1.04

(2)
# PBE PrNdI2, relaxed
data_PrNdI2
_chemical_formula_sum 'Pr3 Nd3 I6'
_symmetry_space_group_name_H-M 'R -3 m'
_symmetry_Int_Tables_number 166
_symmetry_space_group_name_Hall '-R 3 2"'
_cell_length_a 3.8834
_cell_length_b 3.8834
_cell_length_c 29.8959
_cell_angle_alpha 90.00
_cell_angle_beta 90.00
_cell_angle_gamma 120.00
loop_
_atom_site_label
_atom_site_fract_x
_atom_site_fract_y
_atom_site_fract_z
Pr1 0.0000 0.0000 0.0000
Nd1 0.0000 0.0000 0.5000
I1 0.0000 0.0000 0.2495
# E_tot in eV/atom: -4.005
# Calculated volume in Å³ per atom: 32.5
# M_tot in μB per cell: 0.0
# Relative energy among the computed polymorphs in meV/atom: 41
# Formation energy without anion corrections in eV/atom: -0.84

(3)
# PBE PrNdI2, relaxed
data_PrNdI2
_chemical_formula_sum 'Pr4 Nd4 I8'
_symmetry_space_group_name_H-M 'F m -3 m'
_symmetry_Int_Tables_number 225
_symmetry_space_group_name_Hall '-F 4 2 3'
_cell_length_a 7.824
_cell_length_b 7.824
_cell_length_c 7.824
_cell_angle_alpha 90.00
_cell_angle_beta 90.00
_cell_angle_gamma 90.00
loop_
_atom_site_label
_atom_site_fract_x
_atom_site_fract_y
_atom_site_fract_z
Pr1 0.000 0.000 0.000
Nd1 0.000 0.000 0.500
I1 0.250 0.250 0.250
# E_tot in eV/atom: -3.981
# Calculated volume in Å³ per atom: 29.9
# M_tot in μB per cell: 0.0
# Relative energy among the computed polymorphs in meV/atom: 64
# Formation energy without anion corrections in eV/atom: -0.82